# La2Be4Si3Au (PBE-GGA, relaxed)
# Size of the total moment = 0.00 μB per cell
# V = 163 Å³/cell
# Electronic total energy = -48.75 eV per formula unit
# Calculated density = 6.07 g/cm3
# E_form (uncorrected) = -444 meV/atom
data_La2Be4Si3Au
_chemical_formula_sum 'La2 Be4 Si3 Au1'
_space_group_name_H-M_alt 'P -4 m 2'
_space_group_IT_number 115
_cell_length_a 4.060
_cell_length_b 4.060
_cell_length_c 9.872
_cell_angle_alpha 90.00
_cell_angle_beta 90.00
_cell_angle_gamma 90.00
loop_
_space_group_symop_operation_xyz
'x,y,z'
'y,-x,-z'
'-x,-y,z'
'-y,x,-z'
'-x,y,z'
'-y,-x,-z'
'x,-y,z'
'y,x,-z'
loop_
_atom_site_label
_atom_site_type_symbol
_atom_site_fract_x
_atom_site_fract_y
_atom_site_fract_z
La1 La 0.000 0.500 0.239
Be1 Be 0.000 0.000 0.000
Be2 Be 0.000 0.500 0.633
Be3 Be 0.500 0.500 0.000
Si1 Si 0.000 0.500 0.874
Si2 Si 0.500 0.500 0.500
Au1 Au 0.000 0.000 0.500

***

# RbLiMn2Pb (PBE-GGA, relaxed)
# Size of the total moment = 8.33 μB per cell
# V = 201 Å³/cell
# Electronic total energy = -16.17 eV per formula unit
# ΔH_f (0 K) = 1.751 eV/atom
# Calculated density = 3.38 g/cm3
data_RbLiMn2Pb
_chemical_formula_sum 'Rb1 Li1 Mn2 Pb1'
_space_group_name_H-M_alt 'P 4/m m m'
_space_group_IT_number 123
_space_group_name_Hall '-P 4 2'
_cell_length_a 5.680
_cell_length_b 5.680
_cell_length_c 6.244
_cell_angle_alpha 90.00
_cell_angle_beta 90.00
_cell_angle_gamma 90.00
loop_
_atom_site_label
_atom_site_type_symbol
_atom_site_fract_x
_atom_site_fract_y
_atom_site_fract_z
Rb1 Rb 0.000 0.000 0.000
Li1 Li 0.500 0.500 0.500
Mn1 Mn 0.000 0.500 0.000
Pb1 Pb 0.000 0.000 0.500

***

# CeYEr2 (PBE-GGA, relaxed)
# Size of the total moment = 0.50 μB per cell
# V = 124 Å³/cell
# Electronic total energy = -21.24 eV per formula unit
# ΔH_f (0 K) = 0.070 eV/atom
# E above lowest polymorph = 4.2 kJ/mol of atoms
# Calculated density = 7.57 g/cm3
data_CeYEr2
_chemical_formula_sum 'Ce1 Y1 Er2'
_space_group_name_H-M_alt 'P 4/m m m'
_space_group_IT_number 123
_space_group_name_Hall '-P 4 2'
_cell_length_a 4.991
_cell_length_b 4.991
_cell_length_c 4.960
_cell_angle_alpha 90.00
_cell_angle_beta 90.00
_cell_angle_gamma 90.00
loop_
_atom_site_label
_atom_site_type_symbol
_atom_site_fract_x
_atom_site_fract_y
_atom_site_fract_z
Ce1 Ce 0.000 0.000 0.000
Y1 Y 0.500 0.500 0.000
Er1 Er 0.000 0.500 0.500

***

# TaIrF2 (PBE-GGA, relaxed)
# Size of the total moment = 0.00 μB per cell
# V = 207 Å³/cell
# Electronic total energy = -24.46 eV per formula unit
# E above lowest polymorph = 96.1 kJ/mol of atoms
# Calculated density = 13.21 g/cm3
# E_form (uncorrected) = 0 meV/atom
data_TaIrF2
_chemical_formula_sum 'Ta4 Ir4 F8'
_space_group_name_H-M_alt 'F m -3 m'
_space_group_IT_number 225
_space_group_name_Hall '-F 4 2 3'
_cell_length_a 5.913
_cell_length_b 5.913
_cell_length_c 5.913
_cell_angle_alpha 90.00
_cell_angle_beta 90.00
_cell_angle_gamma 90.00
loop_
_atom_site_label
_atom_site_type_symbol
_atom_site_fract_x
_atom_site_fract_y
_atom_site_fract_z
Ta1 Ta 0.000 0.000 0.000
Ir1 Ir 0.000 0.000 0.500
F1 F 0.250 0.250 0.250